{"formula": "BeV2F", "functional": "PBE+U", "state": "relaxed", "dft_energy_ev_per_cell": -17.99, "e_above_lowest_polymorph_kj_per_mol_atoms": 36.4, "lattice_angstrom": [[0.000, 3.033, 3.033], [3.033, 0.000, 3.033], [3.033, 3.033, 0.000]], "species": ["Be", "V", "V", "F"], "frac_coords": [[0.000, 0.000, 0.000], [0.250, 0.250, 0.250], [0.750, 0.750, 0.750], [0.500, 0.500, 0.500]]}